No. 1
The following is a DFT calculation (PBE) of TbPr3Sc2Te6 after structural relaxation.

Unit cell a=4.329 b=8.892 c=9.866 alpha=104.62 beta=102.67 gamma=90.00
Positions (direct):
Pr 0.838 0.171 0.677
Sc 0.166 0.332 0.332
Te 0.991 0.754 0.982
Pr 0.162 0.829 0.323
Pr 0.500 0.500 0.000
Te 0.326 0.434 0.653
Te 0.666 0.101 0.333
Te 0.009 0.246 0.018
Tb 0.500 0.000 0.000
Te 0.334 0.899 0.667
Sc 0.834 0.668 0.668
Te 0.674 0.566 0.347

Results
D(E_F)	6.7	states/eV/f.u.
volume	29.825	Å³/atom
uncorrected energy	-5.507	eV/atom

No. 2
The following is a DFT calculation (PBE) of TbPrScTl after structural relaxation.

Unit cell a=5.459 b=5.459 c=5.459 alpha=60.00 beta=60.00 gamma=60.00
Positions (direct):
Sc 0.500 0.500 0.500
Tb 0.750 0.750 0.750
Pr 0.250 0.250 0.250
Tl 0.000 0.000 0.000

Results
D(E_F)	4.8	states/eV/f.u.
volume	28.755	Å³/atom
calculated formation energy	-73	meV per atom

No. 3
The following is a DFT calculation (PBE) of TbPrScTl after structural relaxation.

Unit cell a=4.866 b=4.768 c=4.823 alpha=90.00 beta=90.00 gamma=90.00
Positions (direct):
Pr 0.500 0.000 0.500
Sc 0.000 0.500 0.500
Tl 0.000 0.000 0.000
Tb 0.500 0.500 0.000

Results
D(E_F)	5.4	states/eV/f.u.
volume	27.980	Å³/atom
calculated formation energy	-174	meV per atom

No. 4
The following is a DFT calculation (PBE) of Tb2PrScTl4 after structural relaxation.

Unit cell a=5.356 b=5.356 c=9.352 alpha=73.36 beta=73.36 gamma=60.00
Positions (direct):
Tb 0.248 0.248 0.255
Tl 0.872 0.872 0.384
Tl 0.379 0.379 0.864
Pr 0.000 0.000 0.000
Tl 0.128 0.128 0.616
Tl 0.621 0.621 0.136
Tb 0.752 0.752 0.745
Sc 0.500 0.500 0.500

Results
D(E_F)	7.0	states/eV/f.u.
volume	27.408	Å³/atom
calculated formation energy	-321	meV per atom

No. 5
The following is a DFT calculation (PBE) of Tb4Pr2TmSc after structural relaxation.

Unit cell a=5.039 b=5.037 c=11.210 alpha=63.26 beta=90.00 gamma=90.00
Positions (direct):
Tb 0.000 0.253 0.247
Pr 0.500 0.000 0.500
Tb 0.500 0.754 0.246
Tb 0.000 0.747 0.753
Tm 0.000 0.500 0.500
Tb 0.500 0.246 0.754
Pr 0.000 0.000 0.000
Sc 0.500 0.500 0.000

Results
D(E_F)	12.1	states/eV/f.u.
volume	31.765	Å³/atom
calculated formation energy	37	meV per atom

No. 6
The following is a DFT calculation (PBE) of Tb6Pr2Tm3Sc after structural relaxation.

Unit cell a=6.133 b=6.133 c=11.760 alpha=94.98 beta=94.98 gamma=119.99
Positions (direct):
Tb 0.414 0.084 0.253
Tm 0.166 0.834 0.500
Tb 0.586 0.916 0.747
Tb 0.754 0.754 0.253
Tb 0.916 0.586 0.747
Pr 0.666 0.334 0.000
Tm 0.500 0.500 0.500
Tb 0.246 0.246 0.747
Tm 0.834 0.166 0.500
Pr 0.334 0.666 0.000
Sc 0.000 0.000 0.000
Tb 0.084 0.414 0.253

Results
D(E_F)	15.7	states/eV/f.u.
volume	31.437	Å³/atom
calculated formation energy	28	meV per atom

No. 7
The following is a DFT calculation (PBE) of TbPr4Tm2Sc after structural relaxation.

Unit cell a=5.139 b=5.128 c=11.105 alpha=62.51 beta=90.00 gamma=90.00
Positions (direct):
Tm 0.500 0.000 0.500
Tm 0.000 0.000 0.000
Sc 0.000 0.500 0.500
Pr 0.500 0.744 0.256
Pr 0.000 0.244 0.256
Tb 0.500 0.500 0.000
Pr 0.000 0.756 0.744
Pr 0.500 0.256 0.744

Results
D(E_F)	10.2	states/eV/f.u.
volume	32.456	Å³/atom
calculated formation energy	29	meV per atom

No. 8
The following is a DFT calculation (PBE) of Tb2PrTmSc4 after structural relaxation.

Unit cell a=4.933 b=4.923 c=10.530 alpha=62.12 beta=90.00 gamma=90.00
Positions (direct):
Sc 0.500 0.746 0.253
Sc 0.500 0.254 0.747
Sc 0.000 0.246 0.253
Pr 0.500 0.500 0.000
Sc 0.000 0.754 0.747
Tm 0.000 0.500 0.500
Tb 0.500 0.000 0.500
Tb 0.000 0.000 0.000

Results
D(E_F)	13.7	states/eV/f.u.
volume	28.252	Å³/atom
calculated formation energy	56	meV per atom

No. 9
The following is a DFT calculation (PBE) of Tb5Pr2TmSc after structural relaxation.

Unit cell a=5.550 b=10.515 c=10.370 alpha=90.00 beta=90.00 gamma=105.30
Positions (direct):
Tm 0.595 0.190 0.962
Pr 0.116 0.231 0.736
Tb 0.628 0.256 0.519
Tb 0.297 0.594 0.701
Sc 0.805 0.610 0.514
Sc 0.195 0.390 0.014
Tm 0.405 0.810 0.462
Pr 0.884 0.769 0.236
Tb 0.726 0.453 0.821
Tb 0.274 0.547 0.321
Tb 0.703 0.406 0.201
Tb 0.015 0.029 0.014
Tb 0.515 0.031 0.243
Pr 0.114 0.227 0.312
Tb 0.372 0.744 0.019
Pr 0.886 0.773 0.812
Tb 0.985 0.971 0.514
Tb 0.485 0.969 0.743

Results
D(E_F)	12.9	states/eV/f.u.
volume	32.430	Å³/atom
calculated formation energy	149	meV per atom

No. 10
The following is a DFT calculation (PBE) of Tb3PrTm6Sc2 after structural relaxation.

Unit cell a=6.034 b=6.034 c=11.571 alpha=94.97 beta=94.97 gamma=119.97
Positions (direct):
Tm 0.083 0.419 0.247
Tb 0.500 0.500 0.500
Pr 0.000 0.000 0.000
Tb 0.833 0.167 0.500
Tm 0.917 0.581 0.753
Sc 0.333 0.667 0.000
Tm 0.746 0.746 0.247
Tm 0.254 0.254 0.753
Tb 0.167 0.833 0.500
Tm 0.419 0.083 0.247
Tm 0.581 0.917 0.753
Sc 0.667 0.333 0.000

Results
D(E_F)	16.7	states/eV/f.u.
volume	29.952	Å³/atom
calculated formation energy	39	meV per atom